{"formula": "HfCoAu", "functional": "GGA-PBE", "state": "relaxed", "e_form_kj_per_mol_atoms": 19.1, "cell": [[0.000, 3.079, 3.079], [3.079, 0.000, 3.079], [3.079, 3.079, 0.000]], "species": ["Hf", "Co", "Au"], "fractional_positions": [[0.000, 0.000, 0.000], [0.250, 0.250, 0.250], [0.750, 0.750, 0.750]]}